A plane-wave DFT calculation with PBE was carried out for crystalline InTcP2 at its relaxed geometry.

Structure (POSCAR):
```
InTcP2
1.0
4.5513 0.0000 0.0000
0.0000 3.3958 -0.0025
0.0000 0.1169 4.6116
In P Tc
1 2 1
Cartesian
2.2756 2.6345 3.4569
0.0000 0.0278 0.4555
0.0000 1.7285 1.8490
2.2756 0.8782 1.1523
```

Values from the calculation:
Energy of formation from the pure elements ... 0.127 eV per atom
Space-group type ... P2/m (10)
Magnetization ... 0.00 μB/atom
Calculated volume ... 17.82 A^3/atom

---

A plane-wave DFT calculation with PBE was carried out for crystalline InTc2P at its relaxed geometry.

Structure (POSCAR):
```
InTc2P
1.0
-0.3800 3.0209 2.7472
-2.5931 -2.3098 2.1813
5.2349 -2.9156 6.9909
P Tc In
2 4 2
Cartesian
-1.4865 0.3555 2.4642
0.5776 -2.4349 5.8182
0.7835 0.5811 3.4742
-0.3959 -1.5055 3.7176
2.5629 -2.1413 7.3003
1.5731 -1.3432 9.3466
0.0000 0.0000 0.0000
1.6842 0.2304 6.1012
```

Values from the calculation:
Energy of formation from the pure elements ... 0.383 eV per atom
Space-group type ... I-42d (122)
Magnetization ... 0.00 μB/atom
Calculated volume ... 18.37 A^3/atom
Energy above the most stable polymorph in this dataset ... 513.8 meV per atom

---

Copy entry 1 word for word.
A plane-wave DFT calculation with PBE was carried out for crystalline InTcP2 at its relaxed geometry.

Structure (POSCAR):
```
InTcP2
1.0
4.5513 0.0000 0.0000
0.0000 3.3958 -0.0025
0.0000 0.1169 4.6116
In P Tc
1 2 1
Cartesian
2.2756 2.6345 3.4569
0.0000 0.0278 0.4555
0.0000 1.7285 1.8490
2.2756 0.8782 1.1523
```

Values from the calculation:
Energy of formation from the pure elements ... 0.127 eV per atom
Space-group type ... P2/m (10)
Magnetization ... 0.00 μB/atom
Calculated volume ... 17.82 A^3/atom

---

> Look up the calculated volume of the second one.

18.37 A^3/atom